Entry 1:
The following is a DFT calculation (SCAN) of a crystal of BeCuO2F relaxed with PBEsol.

abc: 3.316 3.506 3.506
angles: 90.00 90.00 90.00
Sites, in units of the cell vectors:
1 Be 0.000 0.000 0.000
2 O 0.000 0.000 0.500
3 O 0.000 0.500 0.000
4 Cu 0.500 0.500 0.500
5 F 0.500 0.000 0.000

## Properties
SG	P4/mmm, No. 123
E_form (uncorrected)	-5.8	eV/f.u.
total DFT energy (no corrections)	-8.27	eV per atom

Entry 2:
The following is a DFT calculation (SCAN) of a crystal of BeCuSi2F relaxed with PBEsol.

abc: 2.939 4.896 4.896
angles: 90.00 90.00 90.00
Sites, in units of the cell vectors:
1 Be 0.500 0.000 0.000
2 Si 0.000 0.000 0.500
3 Si 0.000 0.500 0.000
4 Cu 0.500 0.500 0.500
5 F 0.000 0.000 0.000

## Properties
SG	P4/mmm, No. 123
E_form (uncorrected)	1.7	eV/f.u.
total DFT energy (no corrections)	-8.29	eV per atom

Entry 3:
The following is a DFT calculation (SCAN) of a crystal of BeCuTc2F relaxed with PBEsol.

abc: 2.825 4.666 4.666
angles: 90.00 90.00 90.00
Sites, in units of the cell vectors:
1 Be 0.000 0.000 0.000
2 Tc 0.000 0.000 0.500
3 Tc 0.000 0.500 0.000
4 Cu 0.500 0.500 0.500
5 F 0.500 0.000 0.000

## Properties
SG	P4/mmm, No. 123
E_form (uncorrected)	3.1	eV/f.u.
total DFT energy (no corrections)	-18.02	eV per atom

Number 1: DOS(E_F) 2.141 states/eV per cell. Number 2: DOS(E_F) 1.901 states/eV per cell. Number 3: DOS(E_F) 4.175 states/eV per cell.